# NdZnPd | OQMD via LeMat-Bulk | PBE | relaxed
data_NdZnPd
_space_group_name_H-M_alt 'P -6 2 m'
_space_group_IT_number 189
_space_group_name_Hall 'P -6 -2'
_cell_length_a 7.2970
_cell_length_b 7.2970
_cell_length_c 4.0556
_cell_angle_alpha 90.00
_cell_angle_beta 90.00
_cell_angle_gamma 120.00
loop_
_atom_site_label
_atom_site_fract_x
_atom_site_fract_y
_atom_site_fract_z
Nd1 0.0000 0.5909 0.0000
Zn1 0.0000 0.0000 0.0000
Zn2 0.3333 0.6667 0.5000
Pd1 0.0000 0.2466 0.5000
# - Formation enthalpy at 0 K: -0.573 eV per atom
# - Total energy: -4.31 eV per atom